[1]
# CdP7, PBEsol geometry, DFT meta-GGA SCAN
data_CdP7
_cell_length_a 5.587
_cell_length_b 5.587
_cell_length_c 5.587
_cell_angle_alpha 60.00
_cell_angle_beta 60.00
_cell_angle_gamma 60.00
_space_group_name_H-M_alt 'P 1'
_space_group_IT_number 1
_space_group_name_Hall 'P 1'
loop_
_atom_site_label
_atom_site_type_symbol
_atom_site_fract_x
_atom_site_fract_y
_atom_site_fract_z
_atom_site_occupancy
P1 P 0.000 0.500 0.000 1
P2 P 0.000 0.000 0.500 1
P3 P 0.500 0.000 0.500 1
P4 P 0.500 0.500 0.000 1
Cd1 Cd 0.000 0.000 0.000 1
P5 P 0.500 0.000 0.000 1
P6 P 0.500 0.500 0.500 1
P7 P 0.000 0.500 0.500 1
# size of the total moment = 0.0 μB per formula unit
# symmetry = Fm-3m (225)
# calculated formation energy = 1.0054 eV per atom

=====

[2]
# CdP4, PBEsol geometry, DFT meta-GGA SCAN
data_CdP4
_cell_length_a 5.116
_cell_length_b 5.225
_cell_length_c 7.594
_cell_angle_alpha 99.15
_cell_angle_beta 90.00
_cell_angle_gamma 90.00
_space_group_name_H-M_alt 'P 1'
_space_group_IT_number 1
_space_group_name_Hall 'P 1'
loop_
_atom_site_label
_atom_site_type_symbol
_atom_site_fract_x
_atom_site_fract_y
_atom_site_fract_z
_atom_site_occupancy
P1 P 0.894 0.396 0.599 1
P2 P 0.106 0.604 0.401 1
P3 P 0.394 0.604 0.901 1
P4 P 0.289 0.259 0.253 1
P5 P 0.211 0.259 0.753 1
P6 P 0.789 0.741 0.247 1
Cd1 Cd 0.500 0.000 0.500 1
P7 P 0.606 0.396 0.099 1
Cd2 Cd 0.000 0.000 0.000 1
P8 P 0.711 0.741 0.747 1
# size of the total moment = 0.0 μB per formula unit
# symmetry = P2_1/c (14)
# calculated formation energy = -0.1172 eV per atom